# 1
{
  "formula": "In2Pb3Br8",
  "functional": "PBE",
  "state": "optimized geometry",
  "dft_energy_ha_per_atom": -0.1155,
  "sg": "No. 12",
  "m_tot_mub_per_fu": 0.0,
  "rho_g_cm3": 4.6,
  "cell": [[8.1578, -4.4769, 0.0000], [8.1578, 4.4769, 0.0000], [-2.5160, 0.0000, 7.2883]],
  "species": ["In", "In", "Pb", "Pb", "Pb", "Br", "Br", "Br", "Br", "Br", "Br", "Br", "Br"],
  "frac_coords": [[0.2307, 0.2307, 0.1585], [0.7693, 0.7693, 0.8415], [0.2396, 0.7604, 0.5000], [0.5000, 0.5000, 0.0000], [0.7604, 0.2396, 0.5000], [0.1154, 0.1154, 0.4379], [0.1509, 0.6212, 0.0968], [0.3788, 0.8491, 0.9032], [0.3894, 0.3894, 0.5919], [0.6106, 0.6106, 0.4081], [0.6212, 0.1509, 0.0968], [0.8491, 0.3788, 0.9032], [0.8846, 0.8846, 0.5621]]
}

=====

# 2
{
  "formula": "In2PbBr4",
  "functional": "PBE",
  "state": "optimized geometry",
  "dft_energy_ha_per_atom": -0.1111,
  "sg": "No. 12",
  "m_tot_mub_per_fu": 0.0,
  "rho_g_cm3": 4.7,
  "cell": [[7.3352, -2.2143, 0.0000], [7.3352, 2.2143, 0.0000], [-4.9314, 0.0000, 8.1481]],
  "species": ["In", "In", "Pb", "Br", "Br", "Br", "Br"],
  "frac_coords": [[0.1275, 0.1275, 0.1962], [0.8725, 0.8725, 0.8038], [0.5000, 0.5000, 0.5000], [0.1654, 0.1654, 0.5754], [0.4534, 0.4534, 0.1520], [0.5466, 0.5466, 0.8480], [0.8346, 0.8346, 0.4246]]
}

=====

# 3
{
  "formula": "In2PbBr6",
  "functional": "PBE",
  "state": "optimized geometry",
  "dft_energy_ha_per_atom": -0.1079,
  "sg": "No. 146",
  "m_tot_mub_per_fu": 0.0,
  "rho_g_cm3": 4.6,
  "cell": [[3.8536, 2.2249, 6.3715], [-3.8536, 2.2249, 6.3715], [0.0000, -4.4498, 6.3715]],
  "species": ["In", "In", "Pb", "Br", "Br", "Br", "Br", "Br", "Br"],
  "frac_coords": [[0.0000, 0.0000, 0.0000], [0.2926, 0.2926, 0.2926], [0.8004, 0.8004, 0.8004], [0.1285, 0.7613, 0.3409], [0.2155, 0.6704, 0.8401], [0.3409, 0.1285, 0.7613], [0.6704, 0.8401, 0.2155], [0.7613, 0.3409, 0.1285], [0.8401, 0.2155, 0.6704]]
}

=====

# 4
{
  "formula": "In3PbBr",
  "functional": "PBE",
  "state": "optimized geometry",
  "dft_energy_ha_per_atom": -0.0890,
  "sg": "No. 221",
  "m_tot_mub_per_fu": 0.0,
  "rho_g_cm3": 5.4,
  "cell": [[5.8073, 0.0000, 0.0000], [0.0000, 5.8073, 0.0000], [0.0000, 0.0000, 5.8073]],
  "species": ["In", "In", "In", "Pb", "Br"],
  "frac_coords": [[0.0000, 0.0000, 0.5000], [0.0000, 0.5000, 0.0000], [0.5000, 0.0000, 0.0000], [0.5000, 0.5000, 0.5000], [0.0000, 0.0000, 0.0000]]
}

=====

# 5
{
  "formula": "In4Pb2Br9",
  "functional": "PBE",
  "state": "optimized geometry",
  "dft_energy_ha_per_atom": -0.1092,
  "sg": "No. 147",
  "m_tot_mub_per_fu": 0.0,
  "rho_g_cm3": 4.5,
  "cell": [[7.7755, 0.0000, 0.0000], [-3.8877, 6.7338, 0.0000], [0.0000, 0.0000, 22.4134]],
  "species": ["In", "In", "In", "In", "In", "In", "In", "In", "Pb", "Pb", "Pb", "Pb", "Br", "Br", "Br", "Br", "Br", "Br", "Br", "Br", "Br", "Br", "Br", "Br", "Br", "Br", "Br", "Br", "Br", "Br"],
  "frac_coords": [[0.3333, 0.6667, 0.1722], [0.3333, 0.6667, 0.4835], [0.3333, 0.6667, 0.6815], [0.3333, 0.6667, 0.9828], [0.6667, 0.3333, 0.0172], [0.6667, 0.3333, 0.3185], [0.6667, 0.3333, 0.5165], [0.6667, 0.3333, 0.8278], [0.0000, 0.0000, 0.1583], [0.0000, 0.0000, 0.3461], [0.0000, 0.0000, 0.6539], [0.0000, 0.0000, 0.8417], [0.0274, 0.3611, 0.0911], [0.0352, 0.6955, 0.5873], [0.0432, 0.7202, 0.2454], [0.2798, 0.3230, 0.2454], [0.3045, 0.3397, 0.5873], [0.3230, 0.0432, 0.7546], [0.3336, 0.9726, 0.0911], [0.3397, 0.0352, 0.4127], [0.3611, 0.3336, 0.9089], [0.6389, 0.6664, 0.0911], [0.6603, 0.9648, 0.5873], [0.6664, 0.0274, 0.9089], [0.6770, 0.9568, 0.2454], [0.6955, 0.6603, 0.4127], [0.7202, 0.6770, 0.7546], [0.9568, 0.2798, 0.7546], [0.9648, 0.3045, 0.4127], [0.9726, 0.6389, 0.9089]]
}

=====

# 6
{
  "formula": "In4PbBr6",
  "functional": "PBE",
  "state": "optimized geometry",
  "dft_energy_ha_per_atom": -0.1084,
  "sg": "No. 128",
  "m_tot_mub_per_fu": 0.0,
  "rho_g_cm3": 5.0,
  "cell": [[8.8251, 0.0000, 0.0000], [0.0000, 8.8251, 0.0000], [0.0000, 0.0000, 9.8222]],
  "species": ["In", "In", "In", "In", "In", "In", "In", "In", "Pb", "Pb", "Br", "Br", "Br", "Br", "Br", "Br", "Br", "Br", "Br", "Br", "Br", "Br"],
  "frac_coords": [[0.1581, 0.3419, 0.2500], [0.1581, 0.3419, 0.7500], [0.3419, 0.8419, 0.2500], [0.3419, 0.8419, 0.7500], [0.6581, 0.1581, 0.2500], [0.6581, 0.1581, 0.7500], [0.8419, 0.6581, 0.2500], [0.8419, 0.6581, 0.7500], [0.0000, 0.0000, 0.0000], [0.5000, 0.5000, 0.5000], [0.0000, 0.0000, 0.3031], [0.0000, 0.0000, 0.6969], [0.1480, 0.6889, 0.0000], [0.1889, 0.6480, 0.5000], [0.3111, 0.1480, 0.0000], [0.3520, 0.1889, 0.5000], [0.5000, 0.5000, 0.1969], [0.5000, 0.5000, 0.8031], [0.6480, 0.8111, 0.5000], [0.6889, 0.8520, 0.0000], [0.8111, 0.3520, 0.5000], [0.8520, 0.3111, 0.0000]]
}

=====

Repeat the fourth record exactly.
{
  "formula": "In3PbBr",
  "functional": "PBE",
  "state": "optimized geometry",
  "dft_energy_ha_per_atom": -0.0890,
  "sg": "No. 221",
  "m_tot_mub_per_fu": 0.0,
  "rho_g_cm3": 5.4,
  "cell": [[5.8073, 0.0000, 0.0000], [0.0000, 5.8073, 0.0000], [0.0000, 0.0000, 5.8073]],
  "species": ["In", "In", "In", "Pb", "Br"],
  "frac_coords": [[0.0000, 0.0000, 0.5000], [0.0000, 0.5000, 0.0000], [0.5000, 0.0000, 0.0000], [0.5000, 0.5000, 0.5000], [0.0000, 0.0000, 0.0000]]
}